## Ba2ZnSi (PBE)

Data for a relaxed structure of Ba2ZnSi. Values from VASP.

Values from the calculation:
* total DFT energy (no corrections): -2.560 eV/atom
* calculated density: 3.94 g/cm3
* formation energy without anion corrections: 76 meV/atom

Cell and atoms, written as Quantum ESPRESSO input:
```
&SYSTEM
  ibrav = 0, nat = 4, ntyp = 3
/
ATOMIC_SPECIES
Ba 137.33 Ba.upf
Zn 65.41 Zn.upf
Si 28.09 Si.upf
ATOMIC_POSITIONS crystal
Ba 0.000 0.000 0.000
Ba 0.500 0.500 0.459
Zn 0.500 0.500 0.946
Si 0.000 0.000 0.515
CELL_PARAMETERS angstrom
4.187 0.000 0.000
0.000 5.407 0.000
0.000 0.000 6.854
```

## Ba2ZnSi (PBE)

Data for a relaxed structure of Ba2ZnSi. Values from VASP.

Values from the calculation:
* total DFT energy (no corrections): -2.899 eV/atom
* calculated density: 4.47 g/cm3
* formation energy without anion corrections: -263 meV/atom

Cell and atoms, written as Quantum ESPRESSO input:
```
&SYSTEM
  ibrav = 0, nat = 4, ntyp = 3
/
ATOMIC_SPECIES
Ba 137.33 Ba.upf
Zn 65.41 Zn.upf
Si 28.09 Si.upf
ATOMIC_POSITIONS crystal
Ba 0.000 0.000 0.000
Ba 0.500 0.283 0.283
Zn 0.500 0.595 0.595
Si 0.000 0.700 0.700
CELL_PARAMETERS angstrom
4.466 0.000 0.000
0.000 2.444 6.266
0.000 -2.444 6.266
```

## BaZnSi (PBE)

Data for a relaxed structure of BaZnSi. Values from VASP.

Values from the calculation:
* total DFT energy (no corrections): -3.173 eV/atom
* calculated density: 4.57 g/cm3
* formation energy without anion corrections: -299 meV/atom

Cell and atoms, written as Quantum ESPRESSO input:
```
&SYSTEM
  ibrav = 0, nat = 6, ntyp = 3
/
ATOMIC_SPECIES
Ba 137.33 Ba.upf
Zn 65.41 Zn.upf
Si 28.09 Si.upf
ATOMIC_POSITIONS crystal
Ba 0.188 0.188 0.377
Ba 0.812 0.812 0.623
Zn 0.196 0.498 0.001
Zn 0.502 0.804 0.999
Si 0.501 0.209 0.000
Si 0.791 0.499 0.000
CELL_PARAMETERS angstrom
4.117 -4.108 0.000
4.117 4.108 0.000
-4.109 0.000 4.964
```

## BaZrSi2 (PBE)

Data for a relaxed structure of BaZrSi2. Values from VASP.

Values from the calculation:
* total DFT energy (no corrections): -5.548 eV/atom
* calculated density: 4.30 g/cm3
* formation energy without anion corrections: -219 meV/atom

Cell and atoms, written as Quantum ESPRESSO input:
```
&SYSTEM
  ibrav = 0, nat = 4, ntyp = 3
/
ATOMIC_SPECIES
Ba 137.33 Ba.upf
Zr 91.22 Zr.upf
Si 28.09 Si.upf
ATOMIC_POSITIONS crystal
Ba 0.000 0.000 0.000
Zr 0.500 0.500 0.500
Si 0.219 0.219 0.219
Si 0.781 0.781 0.781
CELL_PARAMETERS angstrom
2.198 1.269 6.568
-2.198 1.269 6.568
0.000 -2.538 6.568
```

## Ba2ZrSi (PBE)

Data for a relaxed structure of Ba2ZrSi. Values from VASP.

Values from the calculation:
* total DFT energy (no corrections): -4.015 eV/atom
* calculated density: 5.44 g/cm3
* formation energy without anion corrections: 439 meV/atom

Cell and atoms, written as Quantum ESPRESSO input:
```
&SYSTEM
  ibrav = 0, nat = 4, ntyp = 3
/
ATOMIC_SPECIES
Ba 137.33 Ba.upf
Zr 91.22 Zr.upf
Si 28.09 Si.upf
ATOMIC_POSITIONS crystal
Ba 0.000 0.000 0.000
Ba 0.750 0.250 0.500
Zr 0.500 0.500 0.000
Si 0.250 0.750 0.500
CELL_PARAMETERS angstrom
-2.484 2.484 4.874
2.484 -2.484 4.874
2.484 2.484 -4.874
```

## Ba2ZrSi (PBE)

Data for a relaxed structure of Ba2ZrSi. Values from VASP.

Values from the calculation:
* total DFT energy (no corrections): -4.075 eV/atom
* calculated density: 5.53 g/cm3
* formation energy without anion corrections: 380 meV/atom

Cell and atoms, written as Quantum ESPRESSO input:
```
&SYSTEM
  ibrav = 0, nat = 4, ntyp = 3
/
ATOMIC_SPECIES
Ba 137.33 Ba.upf
Zr 91.22 Zr.upf
Si 28.09 Si.upf
ATOMIC_POSITIONS crystal
Ba 0.000 0.500 0.000
Ba 0.500 0.000 0.000
Zr 0.000 0.000 0.500
Si 0.500 0.500 0.500
CELL_PARAMETERS angstrom
4.709 0.000 0.000
0.000 4.709 0.000
0.000 0.000 5.338
```

## BaZr2Si (PBE)

Data for a relaxed structure of BaZr2Si. Values from VASP.

Values from the calculation:
* total DFT energy (no corrections): -5.676 eV/atom
* calculated density: 4.37 g/cm3
* formation energy without anion corrections: 434 meV/atom

Cell and atoms, written as Quantum ESPRESSO input:
```
&SYSTEM
  ibrav = 0, nat = 8, ntyp = 3
/
ATOMIC_SPECIES
Ba 137.33 Ba.upf
Zr 91.22 Zr.upf
Si 28.09 Si.upf
ATOMIC_POSITIONS crystal
Ba 0.000 0.000 0.000
Ba 0.750 0.250 0.500
Zr 0.344 0.625 0.219
Zr 0.375 0.594 0.719
Zr 0.406 0.125 0.781
Zr 0.875 0.656 0.281
Si 0.250 0.750 0.500
Si 0.500 0.500 0.000
CELL_PARAMETERS angstrom
-2.580 2.580 9.935
2.580 -2.580 9.935
2.580 2.580 -9.935
```

## BaZrSi (PBE)

Data for a relaxed structure of BaZrSi. Values from VASP.

Values from the calculation:
* total DFT energy (no corrections): -5.661 eV/atom
* calculated density: 4.85 g/cm3
* formation energy without anion corrections: -363 meV/atom

Cell and atoms, written as Quantum ESPRESSO input:
```
&SYSTEM
  ibrav = 0, nat = 6, ntyp = 3
/
ATOMIC_SPECIES
Ba 137.33 Ba.upf
Zr 91.22 Zr.upf
Si 28.09 Si.upf
ATOMIC_POSITIONS crystal
Ba 0.250 0.250 0.139
Ba 0.750 0.750 0.861
Zr 0.250 0.750 0.500
Zr 0.750 0.250 0.500
Si 0.250 0.250 0.660
Si 0.750 0.750 0.340
CELL_PARAMETERS angstrom
4.935 0.000 0.000
0.000 4.935 0.000
0.000 0.000 7.212
```

## Ba2ZrSi (PBE)

Data for a relaxed structure of Ba2ZrSi. Values from VASP.

Values from the calculation:
* total DFT energy (no corrections): -4.533 eV/atom
* calculated density: 4.58 g/cm3
* formation energy without anion corrections: -79 meV/atom

Cell and atoms, written as Quantum ESPRESSO input:
```
&SYSTEM
  ibrav = 0, nat = 4, ntyp = 3
/
ATOMIC_SPECIES
Ba 137.33 Ba.upf
Zr 91.22 Zr.upf
Si 28.09 Si.upf
ATOMIC_POSITIONS crystal
Ba 0.000 0.000 0.000
Ba 0.500 0.500 0.389
Zr 0.500 0.500 0.717
Si 0.000 0.000 0.667
CELL_PARAMETERS angstrom
3.821 0.000 0.000
0.000 3.821 0.000
0.000 0.000 9.787
```

## BaZrSi2 (PBE)

Data for a relaxed structure of BaZrSi2. Values from VASP.

Values from the calculation:
* total DFT energy (no corrections): -5.046 eV/atom
* calculated density: 4.95 g/cm3
* formation energy without anion corrections: 284 meV/atom

Cell and atoms, written as Quantum ESPRESSO input:
```
&SYSTEM
  ibrav = 0, nat = 4, ntyp = 3
/
ATOMIC_SPECIES
Ba 137.33 Ba.upf
Zr 91.22 Zr.upf
Si 28.09 Si.upf
ATOMIC_POSITIONS crystal
Ba 0.000 0.000 0.000
Zr 0.750 0.250 0.500
Si 0.250 0.750 0.500
Si 0.500 0.500 0.000
CELL_PARAMETERS angstrom
-2.160 2.160 5.116
2.160 -2.160 5.116
2.160 2.160 -5.116
```

## BaZrSi (PBE)

Data for a relaxed structure of BaZrSi. Values from VASP.

Values from the calculation:
* total DFT energy (no corrections): -5.285 eV/atom
* calculated density: 4.42 g/cm3
* formation energy without anion corrections: 13 meV/atom

Cell and atoms, written as Quantum ESPRESSO input:
```
&SYSTEM
  ibrav = 0, nat = 3, ntyp = 3
/
ATOMIC_SPECIES
Ba 137.33 Ba.upf
Zr 91.22 Zr.upf
Si 28.09 Si.upf
ATOMIC_POSITIONS crystal
Ba 0.000 0.000 0.000
Zr 0.333 0.667 0.491
Si 0.667 0.333 0.563
CELL_PARAMETERS angstrom
4.579 0.000 0.000
-2.289 3.966 0.000
0.000 0.000 5.310
```

## Ba2ZrSi (PBE)

Data for a relaxed structure of Ba2ZrSi. Values from VASP.

Values from the calculation:
* total DFT energy (no corrections): -3.984 eV/atom
* calculated density: 5.37 g/cm3
* formation energy without anion corrections: 470 meV/atom

Cell and atoms, written as Quantum ESPRESSO input:
```
&SYSTEM
  ibrav = 0, nat = 4, ntyp = 3
/
ATOMIC_SPECIES
Ba 137.33 Ba.upf
Zr 91.22 Zr.upf
Si 28.09 Si.upf
ATOMIC_POSITIONS crystal
Ba 0.000 0.000 0.000
Ba 0.250 0.250 0.250
Zr 0.750 0.750 0.750
Si 0.500 0.500 0.500
CELL_PARAMETERS angstrom
0.000 3.934 3.934
3.934 0.000 3.934
3.934 3.934 0.000
```